Si2SeCl after structural relaxation. Source: the Alexandria database, functional PBE.

Calculated values
calculated density	3740	kg/m3
space group	Fm-3m, No. 225
DOS at the Fermi energy	4.22	states/eV/cell
energy above the most stable polymorph in this dataset	552	meV per atom
formation energy without anion corrections	385	meV per atom

a b c (Å): 6.7160 6.7160 6.7160
angles (deg): 90.00 90.00 90.00
Fractional coordinates of all 16 atoms:
1 Si 0.2500 0.2500 0.2500
2 Si 0.2500 0.2500 0.7500
3 Si 0.2500 0.7500 0.2500
4 Si 0.2500 0.7500 0.7500
5 Si 0.7500 0.2500 0.2500
6 Si 0.7500 0.2500 0.7500
7 Si 0.7500 0.7500 0.2500
8 Si 0.7500 0.7500 0.7500
9 Se 0.0000 0.0000 0.0000
10 Se 0.0000 0.5000 0.5000
11 Se 0.5000 0.0000 0.5000
12 Se 0.5000 0.5000 0.0000
13 Cl 0.0000 0.0000 0.5000
14 Cl 0.0000 0.5000 0.0000
15 Cl 0.5000 0.0000 0.0000
16 Cl 0.5000 0.5000 0.5000



Si2SeCl after structural relaxation. Source: the Alexandria database, functional PBE.

Calculated values
calculated density	3284	kg/m3
space group	I-42d, No. 122
DOS at the Fermi energy	8.31	states/eV/cell
energy above the most stable polymorph in this dataset	479	meV per atom
formation energy without anion corrections	312	meV per atom

a b c (Å): 7.2837 7.2837 6.5037
angles (deg): 90.00 90.00 90.00
Fractional coordinates of all 16 atoms:
1 Si 0.2285 0.2500 0.1250
2 Si 0.2500 0.7285 0.3750
3 Si 0.2500 0.7715 0.8750
4 Si 0.2715 0.2500 0.6250
5 Si 0.7285 0.7500 0.6250
6 Si 0.7500 0.2285 0.8750
7 Si 0.7500 0.2715 0.3750
8 Si 0.7715 0.7500 0.1250
9 Se 0.0000 0.0000 0.0000
10 Se 0.0000 0.5000 0.2500
11 Se 0.5000 0.0000 0.7500
12 Se 0.5000 0.5000 0.5000
13 Cl 0.0000 0.0000 0.5000
14 Cl 0.0000 0.5000 0.7500
15 Cl 0.5000 0.0000 0.2500
16 Cl 0.5000 0.5000 0.0000



SiSe2Cl after structural relaxation. Source: the Alexandria database, functional PBE.

Calculated values
calculated density	2949	kg/m3
space group	Pm, No. 6
DOS at the Fermi energy	4.05	states/eV/cell
energy above the most stable polymorph in this dataset	150	meV per atom
formation energy without anion corrections	-256	meV per atom

a b c (Å): 6.4308 3.0951 6.7732
angles (deg): 90.00 112.34 90.00
Fractional coordinates of all 4 atoms:
1 Si 0.0000 0.0000 0.0000
2 Se 0.7015 0.0000 0.6872
3 Se 0.9739 0.5000 0.2474
4 Cl 0.2416 0.5000 0.9328



Si2SeCl after structural relaxation. Source: the Alexandria database, functional PBE.

Calculated values
calculated density	2480	kg/m3
space group	Pm, No. 6
DOS at the Fermi energy	0.46	states/eV/cell
energy above the most stable polymorph in this dataset	0	meV per atom
formation energy without anion corrections	-167	meV per atom

a b c (Å): 3.5399 4.7858 6.9410
angles (deg): 90.00 103.78 90.00
Fractional coordinates of all 4 atoms:
1 Si 0.0000 0.0000 0.0000
2 Si 0.0304 0.5000 0.0658
3 Se 0.3927 0.0000 0.7702
4 Cl 0.6387 0.5000 0.2973



Si2SeCl after structural relaxation. Source: the Alexandria database, functional PBE.

Calculated values
calculated density	3600	kg/m3
space group	P4/mmm, No. 123
DOS at the Fermi energy	0.99	states/eV/cell
energy above the most stable polymorph in this dataset	513	meV per atom
formation energy without anion corrections	345	meV per atom

a b c (Å): 3.3634 3.3634 6.9557
angles (deg): 90.00 90.00 90.00
Fractional coordinates of all 4 atoms:
1 Si 0.0000 0.0000 0.2191
2 Si 0.0000 0.0000 0.7809
3 Se 0.5000 0.5000 0.0000
4 Cl 0.5000 0.5000 0.5000



Si2SeCl after structural relaxation. Source: the Alexandria database, functional PBE.

Calculated values
calculated density	3454	kg/m3
space group	Pmmm, No. 47
DOS at the Fermi energy	1.25	states/eV/cell
energy above the most stable polymorph in this dataset	549	meV per atom
formation energy without anion corrections	381	meV per atom

a b c (Å): 3.5085 3.9329 5.9433
angles (deg): 90.00 90.00 90.00
Fractional coordinates of all 4 atoms:
1 Si 0.0000 0.0000 0.0000
2 Si 0.5000 0.0000 0.5000
3 Se 0.0000 0.5000 0.5000
4 Cl 0.5000 0.5000 0.0000



SiSe2Cl after structural relaxation. Source: the Alexandria database, functional PBE.

Calculated values
calculated density	4358	kg/m3
space group	P4/mmm, No. 123
DOS at the Fermi energy	2.16	states/eV/cell
energy above the most stable polymorph in this dataset	629	meV per atom
formation energy without anion corrections	223	meV per atom

a b c (Å): 3.4997 3.4997 6.8893
angles (deg): 90.00 90.00 90.00
Fractional coordinates of all 4 atoms:
1 Si 0.0000 0.0000 0.0000
2 Se 0.5000 0.5000 0.1816
3 Se 0.5000 0.5000 0.8184
4 Cl 0.0000 0.0000 0.5000



Si4SeCl after structural relaxation. Source: the Alexandria database, functional PBE.

Calculated values
calculated density	3541	kg/m3
space group	F-43m, No. 216
DOS at the Fermi energy	3.63	states/eV/cell
formation energy without anion corrections	590	meV per atom

a b c (Å): 5.3180 5.3180 5.3180
angles (deg): 60.00 60.00 60.00
Fractional coordinates of all 6 atoms:
1 Si 0.1243 0.1243 0.1243
2 Si 0.1243 0.1243 0.6272
3 Si 0.1243 0.6272 0.1243
4 Si 0.6272 0.1243 0.1243
5 Se 0.5000 0.5000 0.5000
6 Cl 0.7500 0.7500 0.7500



SiSe2Cl after structural relaxation. Source: the Alexandria database, functional PBE.

Calculated values
calculated density	3060	kg/m3
space group	Cmm2, No. 35
DOS at the Fermi energy	1.89	states/eV/cell
energy above the most stable polymorph in this dataset	695	meV per atom
formation energy without anion corrections	289	meV per atom

a b c (Å): 3.3109 8.6040 8.4369
angles (deg): 90.00 90.00 90.00
Fractional coordinates of all 8 atoms:
1 Si 0.0000 0.0000 0.0000
2 Si 0.5000 0.5000 0.0000
3 Se 0.0000 0.0000 0.5417
4 Se 0.0000 0.5000 0.7782
5 Se 0.5000 0.0000 0.7782
6 Se 0.5000 0.5000 0.5417
7 Cl 0.0000 0.5000 0.2181
8 Cl 0.5000 0.0000 0.2181



SiSe2Cl after structural relaxation. Source: the Alexandria database, functional PBE.

Calculated values
calculated density	2602	kg/m3
space group	Cm, No. 8
DOS at the Fermi energy	1.81	states/eV/cell
energy above the most stable polymorph in this dataset	0	meV per atom
formation energy without anion corrections	-406	meV per atom

a b c (Å): 14.0532 3.4703 5.9480
angles (deg): 90.00 102.98 90.00
Fractional coordinates of all 8 atoms:
1 Si 0.0000 0.0000 0.0000
2 Si 0.5000 0.5000 0.0000
3 Se 0.0560 0.5000 0.7761
4 Se 0.0590 0.5000 0.2811
5 Se 0.5560 0.0000 0.7761
6 Se 0.5590 0.0000 0.2811
7 Cl 0.3502 0.5000 0.9257
8 Cl 0.8502 0.0000 0.9257



SiSe2Cl after structural relaxation. Source: the Alexandria database, functional PBE.

Calculated values
calculated density	4652	kg/m3
space group	P4/mmm, No. 123
DOS at the Fermi energy	2.90	states/eV/cell
energy above the most stable polymorph in this dataset	1045	meV per atom
formation energy without anion corrections	639	meV per atom

a b c (Å): 4.8169 4.8169 3.4067
angles (deg): 90.00 90.00 90.00
Fractional coordinates of all 4 atoms:
1 Si 0.0000 0.0000 0.0000
2 Se 0.0000 0.5000 0.5000
3 Se 0.5000 0.0000 0.5000
4 Cl 0.5000 0.5000 0.0000



Si2SeCl after structural relaxation. Source: the Alexandria database, functional PBE.

Calculated values
calculated density	3085	kg/m3
space group	R3m, No. 160
DOS at the Fermi energy	6.44	states/eV/cell
energy above the most stable polymorph in this dataset	138	meV per atom
formation energy without anion corrections	-29	meV per atom

a b c (Å): 3.5852 3.5852 24.7431
angles (deg): 90.00 90.00 120.00
Fractional coordinates of all 12 atoms:
1 Si 0.0000 0.0000 0.0000
2 Si 0.0000 0.0000 0.2805
3 Si 0.3333 0.6667 0.6667
4 Si 0.3333 0.6667 0.9471
5 Si 0.6667 0.3333 0.3333
6 Si 0.6667 0.3333 0.6138
7 Se 0.0000 0.0000 0.7259
8 Se 0.3333 0.6667 0.3926
9 Se 0.6667 0.3333 0.0593
10 Cl 0.0000 0.0000 0.5469
11 Cl 0.3333 0.6667 0.2135
12 Cl 0.6667 0.3333 0.8802



SiSe2Cl after structural relaxation. Source: the Alexandria database, functional PBE.

Calculated values
calculated density	4880	kg/m3
space group	Fm-3m, No. 225
DOS at the Fermi energy	14.01	states/eV/cell
energy above the most stable polymorph in this dataset	947	meV per atom
formation energy without anion corrections	540	meV per atom

a b c (Å): 6.7051 6.7051 6.7051
angles (deg): 90.00 90.00 90.00
Fractional coordinates of all 16 atoms:
1 Si 0.0000 0.0000 0.0000
2 Si 0.0000 0.5000 0.5000
3 Si 0.5000 0.0000 0.5000
4 Si 0.5000 0.5000 0.0000
5 Se 0.2500 0.2500 0.2500
6 Se 0.2500 0.2500 0.7500
7 Se 0.2500 0.7500 0.2500
8 Se 0.2500 0.7500 0.7500
9 Se 0.7500 0.2500 0.2500
10 Se 0.7500 0.2500 0.7500
11 Se 0.7500 0.7500 0.2500
12 Se 0.7500 0.7500 0.7500
13 Cl 0.0000 0.0000 0.5000
14 Cl 0.0000 0.5000 0.0000
15 Cl 0.5000 0.0000 0.0000
16 Cl 0.5000 0.5000 0.5000



SiSe2Cl after structural relaxation. Source: the Alexandria database, functional PBE.

Calculated values
calculated density	3979	kg/m3
space group	R-3m, No. 166
DOS at the Fermi energy	4.84	states/eV/cell
energy above the most stable polymorph in this dataset	302	meV per atom
formation energy without anion corrections	-104	meV per atom

a b c (Å): 3.6396 3.6396 24.1699
angles (deg): 90.00 90.00 120.00
Fractional coordinates of all 12 atoms:
1 Si 0.0000 0.0000 0.0000
2 Si 0.3333 0.6667 0.6667
3 Si 0.6667 0.3333 0.3333
4 Se 0.0000 0.0000 0.3927
5 Se 0.0000 0.0000 0.6073
6 Se 0.3333 0.6667 0.0594
7 Se 0.3333 0.6667 0.2740
8 Se 0.6667 0.3333 0.7260
9 Se 0.6667 0.3333 0.9406
10 Cl 0.0000 0.0000 0.5000
11 Cl 0.3333 0.6667 0.1667
12 Cl 0.6667 0.3333 0.8333



Si2SeCl after structural relaxation. Source: the Alexandria database, functional PBE.

Calculated values
calculated density	3325	kg/m3
space group	C2/m, No. 12
DOS at the Fermi energy	1.78	states/eV/cell
energy above the most stable polymorph in this dataset	414	meV per atom
formation energy without anion corrections	247	meV per atom

a b c (Å): 7.7000 3.5232 6.4221
angles (deg): 90.00 102.03 90.00
Fractional coordinates of all 8 atoms:
1 Si 0.2367 0.0000 0.2163
2 Si 0.2633 0.5000 0.7837
3 Si 0.7367 0.5000 0.2163
4 Si 0.7633 0.0000 0.7837
5 Se 0.0000 0.5000 0.0000
6 Se 0.5000 0.0000 0.0000
7 Cl 0.0000 0.0000 0.5000
8 Cl 0.5000 0.5000 0.5000



Si3SeCl after structural relaxation. Source: the Alexandria database, functional PBE.

Calculated values
calculated density	2912	kg/m3
space group	Pm-3m, No. 221
DOS at the Fermi energy	5.37	states/eV/cell
energy above the most stable polymorph in this dataset	167	meV per atom
formation energy without anion corrections	1255	meV per atom

a b c (Å): 4.8388 4.8388 4.8388
angles (deg): 90.00 90.00 90.00
Fractional coordinates of all 5 atoms:
1 Si 0.0000 0.0000 0.5000
2 Si 0.0000 0.5000 0.0000
3 Si 0.5000 0.0000 0.0000
4 Se 0.5000 0.5000 0.5000
5 Cl 0.0000 0.0000 0.0000



Si2SeCl after structural relaxation. Source: the Alexandria database, functional PBE.

Calculated values
calculated density	3229	kg/m3
space group	Cmmm, No. 65
DOS at the Fermi energy	2.03	states/eV/cell
energy above the most stable polymorph in this dataset	498	meV per atom
formation energy without anion corrections	331	meV per atom

a b c (Å): 3.5862 6.2493 7.8294
angles (deg): 90.00 90.00 90.00
Fractional coordinates of all 8 atoms:
1 Si 0.0000 0.0000 0.2329
2 Si 0.0000 0.0000 0.7671
3 Si 0.5000 0.5000 0.2329
4 Si 0.5000 0.5000 0.7671
5 Se 0.0000 0.5000 0.0000
6 Se 0.5000 0.0000 0.0000
7 Cl 0.0000 0.5000 0.5000
8 Cl 0.5000 0.0000 0.5000



SiSe2Cl after structural relaxation. Source: the Alexandria database, functional PBE.

Calculated values
calculated density	4447	kg/m3
space group	R-3m, No. 166
DOS at the Fermi energy	8.85	states/eV/cell
energy above the most stable polymorph in this dataset	310	meV per atom
formation energy without anion corrections	-96	meV per atom

a b c (Å): 3.6401 3.6401 21.6200
angles (deg): 90.00 90.00 120.00
Fractional coordinates of all 12 atoms:
1 Si 0.0000 0.0000 0.0000
2 Si 0.3333 0.6667 0.6667
3 Si 0.6667 0.3333 0.3333
4 Se 0.0000 0.0000 0.2687
5 Se 0.0000 0.0000 0.7313
6 Se 0.3333 0.6667 0.3980
7 Se 0.3333 0.6667 0.9354
8 Se 0.6667 0.3333 0.0646
9 Se 0.6667 0.3333 0.6020
10 Cl 0.0000 0.0000 0.5000
11 Cl 0.3333 0.6667 0.1667
12 Cl 0.6667 0.3333 0.8333



SiSe3Cl after structural relaxation. Source: the Alexandria database, functional PBE.

Calculated values
calculated density	4376	kg/m3
space group	Pm-3m, No. 221
DOS at the Fermi energy	6.19	states/eV/cell
energy above the most stable polymorph in this dataset	0	meV per atom
formation energy without anion corrections	431	meV per atom

a b c (Å): 4.8486 4.8486 4.8486
angles (deg): 90.00 90.00 90.00
Fractional coordinates of all 5 atoms:
1 Si 0.0000 0.0000 0.0000
2 Se 0.0000 0.0000 0.5000
3 Se 0.0000 0.5000 0.0000
4 Se 0.5000 0.0000 0.0000
5 Cl 0.5000 0.5000 0.5000



Si2SeCl after structural relaxation. Source: the Alexandria database, functional PBE.

Calculated values
calculated density	3303	kg/m3
space group	Immm, No. 71
DOS at the Fermi energy	2.58	states/eV/cell
energy above the most stable polymorph in this dataset	502	meV per atom
formation energy without anion corrections	334	meV per atom

a b c (Å): 3.5637 6.1308 7.8509
angles (deg): 90.00 90.00 90.00
Fractional coordinates of all 8 atoms:
1 Si 0.0000 0.0000 0.2358
2 Si 0.0000 0.0000 0.7642
3 Si 0.5000 0.5000 0.2642
4 Si 0.5000 0.5000 0.7358
5 Se 0.0000 0.5000 0.5000
6 Se 0.5000 0.0000 0.0000
7 Cl 0.0000 0.5000 0.0000
8 Cl 0.5000 0.0000 0.5000